No. 1
Below is a geometry-optimized Tm4ZnPSe2 structure, with properties calculated at the PBE level. Values from VASP.

```
&SYSTEM
  ibrav = 0, nat = 8, ntyp = 4
/
ATOMIC_SPECIES
Tm 168.93 Tm.upf
Zn 65.41 Zn.upf
P 30.97 P.upf
Se 78.96 Se.upf
CELL_PARAMETERS angstrom
6.976 0.000 0.000
0.000 3.932 0.000
-2.238 0.000 6.697
ATOMIC_POSITIONS crystal
Tm 0.239 0.000 0.234
Tm 0.248 0.500 0.758
Tm 0.752 0.500 0.242
Tm 0.761 0.000 0.766
Zn 0.500 0.000 0.000
P 0.000 0.500 0.000
Se 0.000 0.000 0.500
Se 0.500 0.500 0.500
```

**SG**: P2/m, No. 10
**ΔE_f (raw)**: -1309 meV/atom
**V**: 183.68 Å³ per cell

No. 2
Below is a geometry-optimized Tm8ZnP3Se4 structure, with properties calculated at the PBE level. Values from VASP.

```
&SYSTEM
  ibrav = 0, nat = 16, ntyp = 4
/
ATOMIC_SPECIES
Tm 168.93 Tm.upf
Zn 65.41 Zn.upf
P 30.97 P.upf
Se 78.96 Se.upf
CELL_PARAMETERS angstrom
3.985 2.301 6.597
-3.985 2.301 6.597
0.000 -4.601 6.597
ATOMIC_POSITIONS crystal
Tm 0.242 0.242 0.242
Tm 0.242 0.746 0.746
Tm 0.254 0.254 0.758
Tm 0.254 0.758 0.254
Tm 0.746 0.242 0.746
Tm 0.746 0.746 0.242
Tm 0.758 0.254 0.254
Tm 0.758 0.758 0.758
Zn 0.500 0.500 0.500
P 0.000 0.000 0.500
P 0.000 0.500 0.000
P 0.500 0.000 0.000
Se 0.000 0.000 0.000
Se 0.000 0.500 0.500
Se 0.500 0.000 0.500
Se 0.500 0.500 0.000
```

**SG**: R-3m, No. 166
**ΔE_f (raw)**: -1524 meV/atom
**V**: 362.87 Å³ per cell

No. 3
Below is a geometry-optimized TmZrPSe structure, with properties calculated at the PBE level. Values from VASP.

```
&SYSTEM
  ibrav = 0, nat = 4, ntyp = 4
/
ATOMIC_SPECIES
Tm 168.93 Tm.upf
Zr 91.22 Zr.upf
P 30.97 P.upf
Se 78.96 Se.upf
CELL_PARAMETERS angstrom
1.897 1.095 6.764
-1.897 1.095 6.764
0.000 -2.190 6.764
ATOMIC_POSITIONS crystal
Tm 0.000 0.000 0.000
Zr 0.188 0.188 0.188
P 0.590 0.590 0.590
Se 0.764 0.764 0.764
```

**SG**: R3m, No. 160
**ΔE_f (raw)**: -1503 meV/atom
**V**: 84.27 Å³ per cell

No. 4
Below is a geometry-optimized U3PSe2 structure, with properties calculated at the PBE level. Values from VASP.

```
&SYSTEM
  ibrav = 0, nat = 12, ntyp = 3
/
ATOMIC_SPECIES
U 238.03 U.upf
P 30.97 P.upf
Se 78.96 Se.upf
CELL_PARAMETERS angstrom
3.463 -6.120 0.000
3.463 6.120 0.000
-2.414 0.000 6.488
ATOMIC_POSITIONS crystal
U 0.000 0.500 0.000
U 0.152 0.308 0.493
U 0.308 0.152 0.993
U 0.500 0.000 0.500
U 0.692 0.848 0.007
U 0.848 0.692 0.507
P 0.089 0.911 0.250
P 0.911 0.089 0.750
Se 0.258 0.742 0.750
Se 0.418 0.582 0.250
Se 0.582 0.418 0.750
Se 0.742 0.258 0.250
```

**SG**: C2/c, No. 15
**ΔE_f (raw)**: -1006 meV/atom
**V**: 275.03 Å³ per cell

No. 5
Below is a geometry-optimized UPSe structure, with properties calculated at the PBE level. Values from VASP.

```
&SYSTEM
  ibrav = 0, nat = 12, ntyp = 3
/
ATOMIC_SPECIES
U 238.03 U.upf
P 30.97 P.upf
Se 78.96 Se.upf
CELL_PARAMETERS angstrom
5.666 0.000 0.000
0.000 7.156 0.000
-1.002 0.000 6.648
ATOMIC_POSITIONS crystal
U 0.152 0.044 0.295
U 0.152 0.456 0.795
U 0.848 0.544 0.205
U 0.848 0.956 0.705
P 0.124 0.719 0.513
P 0.124 0.781 0.013
P 0.876 0.219 0.987
P 0.876 0.281 0.487
Se 0.371 0.110 0.707
Se 0.371 0.390 0.207
Se 0.629 0.610 0.793
Se 0.629 0.890 0.293
```

**SG**: P2_1/c, No. 14
**ΔE_f (raw)**: -805 meV/atom
**V**: 269.56 Å³ per cell

No. 6
Below is a geometry-optimized U2PSe3 structure, with properties calculated at the PBE level. Values from VASP.

```
&SYSTEM
  ibrav = 0, nat = 12, ntyp = 3
/
ATOMIC_SPECIES
U 238.03 U.upf
P 30.97 P.upf
Se 78.96 Se.upf
CELL_PARAMETERS angstrom
8.383 -1.952 0.000
8.383 1.952 0.000
-3.830 0.000 7.980
ATOMIC_POSITIONS crystal
U 0.010 0.010 0.366
U 0.250 0.250 0.769
U 0.750 0.750 0.231
U 0.990 0.990 0.634
P 0.392 0.392 0.382
P 0.608 0.608 0.618
Se 0.154 0.154 0.972
Se 0.186 0.186 0.397
Se 0.451 0.451 0.838
Se 0.549 0.549 0.162
Se 0.814 0.814 0.603
Se 0.846 0.846 0.028
```

**SG**: C2/m, No. 12
**ΔE_f (raw)**: -887 meV/atom
**V**: 261.08 Å³ per cell

No. 7
Below is a geometry-optimized U3P2Se structure, with properties calculated at the PBE level. Values from VASP.

```
&SYSTEM
  ibrav = 0, nat = 12, ntyp = 3
/
ATOMIC_SPECIES
U 238.03 U.upf
P 30.97 P.upf
Se 78.96 Se.upf
CELL_PARAMETERS angstrom
4.005 -5.959 0.000
4.005 5.959 0.000
-0.146 0.000 5.375
ATOMIC_POSITIONS crystal
U 0.061 0.061 0.287
U 0.159 0.444 0.752
U 0.444 0.159 0.752
U 0.556 0.841 0.248
U 0.841 0.556 0.248
U 0.939 0.939 0.713
P 0.194 0.806 0.000
P 0.208 0.792 0.500
P 0.792 0.208 0.500
P 0.806 0.194 0.000
Se 0.399 0.399 0.243
Se 0.601 0.601 0.757
```

**SG**: C2/m, No. 12
**ΔE_f (raw)**: -622 meV/atom
**V**: 256.55 Å³ per cell

No. 8
Below is a geometry-optimized U3P2Se structure, with properties calculated at the PBE level. Values from VASP.

```
&SYSTEM
  ibrav = 0, nat = 6, ntyp = 3
/
ATOMIC_SPECIES
U 238.03 U.upf
P 30.97 P.upf
Se 78.96 Se.upf
CELL_PARAMETERS angstrom
-1.982 2.811 5.970
1.982 -2.811 5.970
1.982 2.811 -5.970
ATOMIC_POSITIONS crystal
U 0.000 0.000 0.000
U 0.324 0.324 0.000
U 0.676 0.676 0.000
P 0.163 0.663 0.500
P 0.837 0.337 0.500
Se 0.500 0.000 0.500
```

**SG**: Immm, No. 71
**ΔE_f (raw)**: -993 meV/atom
**V**: 133.07 Å³ per cell

Question: ΔE_f (raw) of number 6 (U2PSe3)?
Answer: -887 meV/atom

Question: Which value of V does entry 4 give?
Answer: 275.03 Å³ per cell